# LaAsIBr2 | Alexandria | PBE | optimized geometry
# Volume = 178.6 Å³/cell
# Formation energy (no corrections) = 0.4 eV/f.u.
# E above lowest polymorph = 783.0 meV/atom
# Electronic total energy = -14.09 eV for the cell shown
# M_tot = 0.09 μB/atom
data_LaAsIBr2
_chemical_formula_sum 'La1 As1 I1 Br2'
_cell_length_a 5.639
_cell_length_b 5.639
_cell_length_c 5.618
_cell_angle_alpha 90.00
_cell_angle_beta 90.00
_cell_angle_gamma 90.00
_space_group_name_H-M_alt 'P 4/m m m'
_space_group_IT_number 123
_space_group_name_Hall '-P 4 2'
loop_
_atom_site_label
_atom_site_type_symbol
_atom_site_fract_x
_atom_site_fract_y
_atom_site_fract_z
La1 La 0.000 0.000 0.000
As1 As 0.500 0.500 0.000
I1 I 0.500 0.500 0.500
Br1 Br 0.000 0.500 0.500